[1]
{
  "formula": "Ta2TlCl",
  "functional": "SCAN",
  "state": "PBEsol geometry",
  "spacegroup": "Fm-3m (225)",
  "dos_ef_per_ev_fu": 0.74,
  "vol_a3_per_cell": 71,
  "total_magnetization_mub_per_fu": 0.00,
  "de_polymorph_mev_per_atom": 25,
  "raw_formation_energy_ev_per_fu": 2.57,
  "lattice_angstrom": [[-0.028, -2.541, 3.893], [-2.934, -3.581, 0.418], [1.625, -4.355, -0.055]],
  "species": ["Tl", "Ta", "Cl", "Ta"],
  "frac_coords": [[0.500, 0.500, 0.500], [0.750, 0.750, 0.750], [0.000, 0.000, 0.000], [0.250, 0.250, 0.250]]
}

[2]
{
  "formula": "Ta2WCl",
  "functional": "SCAN",
  "state": "PBEsol geometry",
  "spacegroup": "Cmmm (65)",
  "dos_ef_per_ev_fu": 2.33,
  "vol_a3_per_cell": 67,
  "total_magnetization_mub_per_fu": 0.00,
  "de_polymorph_mev_per_atom": 123,
  "raw_formation_energy_ev_per_fu": 0.28,
  "lattice_angstrom": [[-1.474, 1.107, -2.250], [-1.302, -2.279, 1.253], [-4.216, 5.382, 5.411]],
  "species": ["W", "Ta", "Ta", "Cl"],
  "frac_coords": [[0.500, 0.500, 0.500], [0.000, 0.000, 0.746], [0.000, 0.000, 0.254], [0.500, 0.500, 0.000]]
}

[3]
{
  "formula": "Ta2WCl",
  "functional": "SCAN",
  "state": "PBEsol geometry",
  "spacegroup": "Cmmm (65)",
  "dos_ef_per_ev_fu": 3.08,
  "vol_a3_per_cell": 66,
  "total_magnetization_mub_per_fu": 0.00,
  "de_polymorph_mev_per_atom": 706,
  "raw_formation_energy_ev_per_fu": 2.61,
  "lattice_angstrom": [[-0.683, -2.836, -1.034], [1.802, -1.854, 3.892], [-4.440, 0.584, 1.331]],
  "species": ["Ta", "W", "Cl", "Ta"],
  "frac_coords": [[0.000, 0.000, 0.500], [0.500, 0.000, 0.000], [0.500, 0.500, 0.500], [0.000, 0.500, 0.000]]
}

[4]
{
  "formula": "TaWCl",
  "functional": "SCAN",
  "state": "PBEsol geometry",
  "spacegroup": "P3m1 (156)",
  "dos_ef_per_ev_fu": 2.64,
  "vol_a3_per_cell": 55,
  "total_magnetization_mub_per_fu": 0.00,
  "raw_formation_energy_ev_per_fu": 0.95,
  "lattice_angstrom": [[2.876, 0.000, 0.000], [-1.438, 2.491, 0.000], [0.000, 0.000, 7.668]],
  "species": ["Cl", "W", "Ta"],
  "frac_coords": [[0.000, 0.000, 0.932], [0.667, 0.333, 0.376], [0.333, 0.667, 0.692]]
}

[5]
{
  "formula": "Ta2WCl",
  "functional": "SCAN",
  "state": "PBEsol geometry",
  "spacegroup": "C2/m (12)",
  "dos_ef_per_ev_fu": 2.75,
  "vol_a3_per_cell": 83,
  "total_magnetization_mub_per_fu": 0.00,
  "de_polymorph_mev_per_atom": 323,
  "raw_formation_energy_ev_per_fu": 1.08,
  "lattice_angstrom": [[-1.750, -2.396, 0.563], [2.358, -3.480, 0.615], [-0.537, 0.155, 7.090]],
  "species": ["Ta", "Cl", "W", "Ta"],
  "frac_coords": [[0.186, 0.939, 0.688], [0.500, 0.000, 0.000], [0.000, 0.500, 0.500], [0.814, 0.061, 0.312]]
}

[6]
{
  "formula": "Ta2WCl",
  "functional": "SCAN",
  "state": "PBEsol geometry",
  "spacegroup": "Immm (71)",
  "dos_ef_per_ev_fu": 2.50,
  "vol_a3_per_cell": 66,
  "total_magnetization_mub_per_fu": 0.00,
  "de_polymorph_mev_per_atom": 741,
  "raw_formation_energy_ev_per_fu": 2.75,
  "lattice_angstrom": [[-1.070, -1.339, 2.838], [3.780, -3.234, -0.101], [0.909, 4.868, 0.703]],
  "species": ["W", "Ta", "Cl", "Ta"],
  "frac_coords": [[0.000, 0.500, 0.000], [0.229, 0.229, 0.458], [0.500, 0.000, 0.000], [0.771, 0.771, 0.542]]
}

[7]
{
  "formula": "Ta2WCl",
  "functional": "SCAN",
  "state": "PBEsol geometry",
  "spacegroup": "Pmmm (47)",
  "dos_ef_per_ev_fu": 2.54,
  "vol_a3_per_cell": 74,
  "total_magnetization_mub_per_fu": 0.00,
  "de_polymorph_mev_per_atom": 0,
  "raw_formation_energy_ev_per_fu": -0.21,
  "lattice_angstrom": [[3.134, 0.000, 0.000], [0.000, 3.206, 0.000], [0.000, 0.000, 7.349]],
  "species": ["W", "Cl", "Ta", "Ta"],
  "frac_coords": [[0.500, 0.000, 0.000], [0.500, 0.500, 0.500], [0.000, 0.500, 0.793], [0.000, 0.500, 0.207]]
}

[8]
{
  "formula": "Ta2WCl",
  "functional": "SCAN",
  "state": "PBEsol geometry",
  "spacegroup": "P4/mmm (123)",
  "dos_ef_per_ev_fu": 3.26,
  "vol_a3_per_cell": 71,
  "total_magnetization_mub_per_fu": 0.00,
  "de_polymorph_mev_per_atom": 245,
  "raw_formation_energy_ev_per_fu": 0.77,
  "lattice_angstrom": [[-2.228, -0.696, -2.058], [-0.558, -2.666, 1.506], [-4.974, 3.428, 4.227]],
  "species": ["Cl", "W", "Ta", "Ta"],
  "frac_coords": [[0.500, 0.500, 0.500], [0.500, 0.500, 0.000], [0.000, 0.000, 0.213], [0.000, 0.000, 0.787]]
}

[9]
{
  "formula": "YTaCl2",
  "functional": "SCAN",
  "state": "PBEsol geometry",
  "spacegroup": "P2/m (10)",
  "dos_ef_per_ev_fu": 2.39,
  "vol_a3_per_cell": 75,
  "total_magnetization_mub_per_fu": 0.00,
  "de_polymorph_mev_per_atom": 356,
  "raw_formation_energy_ev_per_fu": -2.11,
  "lattice_angstrom": [[-0.175, -0.563, -3.076], [-3.390, -2.331, 0.619], [-3.338, 4.683, -0.645]],
  "species": ["Cl", "Cl", "Y", "Ta"],
  "frac_coords": [[0.498, 0.000, 0.255], [0.502, 0.000, 0.745], [0.000, 0.500, 0.000], [0.500, 0.500, 0.500]]
}

[10]
{
  "formula": "YTaCl2",
  "functional": "SCAN",
  "state": "PBEsol geometry",
  "spacegroup": "Immm (71)",
  "dos_ef_per_ev_fu": 2.30,
  "vol_a3_per_cell": 79,
  "total_magnetization_mub_per_fu": 0.73,
  "de_polymorph_mev_per_atom": 374,
  "raw_formation_energy_ev_per_fu": -2.03,
  "lattice_angstrom": [[-0.653, 1.430, 2.635], [0.200, -3.870, 3.937], [4.611, -0.195, 3.036]],
  "species": ["Ta", "Cl", "Y", "Cl"],
  "frac_coords": [[0.500, 0.000, 0.000], [0.227, 0.773, 0.773], [0.000, 0.500, 0.500], [0.773, 0.227, 0.227]]
}

[11]
{
  "formula": "YTaCl2",
  "functional": "SCAN",
  "state": "PBEsol geometry",
  "spacegroup": "Pmmm (47)",
  "dos_ef_per_ev_fu": 2.27,
  "vol_a3_per_cell": 79,
  "total_magnetization_mub_per_fu": 0.00,
  "de_polymorph_mev_per_atom": 409,
  "raw_formation_energy_ev_per_fu": -1.90,
  "lattice_angstrom": [[-0.349, 2.022, -2.214], [1.315, -2.998, -2.946], [-5.665, -1.772, -0.725]],
  "species": ["Cl", "Ta", "Y", "Cl"],
  "frac_coords": [[0.000, 0.000, 0.000], [0.500, 0.500, 0.000], [0.000, 0.500, 0.500], [0.500, 0.000, 0.500]]
}

[12]
{
  "formula": "YTaCl2",
  "functional": "SCAN",
  "state": "PBEsol geometry",
  "spacegroup": "P4mm (99)",
  "dos_ef_per_ev_fu": 1.96,
  "vol_a3_per_cell": 85,
  "total_magnetization_mub_per_fu": 0.00,
  "de_polymorph_mev_per_atom": 0,
  "raw_formation_energy_ev_per_fu": -3.53,
  "lattice_angstrom": [[-3.032, 0.224, 0.833], [0.816, -0.246, 3.035], [0.758, 8.482, 0.484]],
  "species": ["Cl", "Ta", "Cl", "Y"],
  "frac_coords": [[0.000, 0.000, 0.956], [0.000, 0.000, 0.478], [0.500, 0.500, 0.311], [0.500, 0.500, 0.755]]
}

[13]
{
  "formula": "Y2TaCl",
  "functional": "SCAN",
  "state": "PBEsol geometry",
  "spacegroup": "P2/m (10)",
  "dos_ef_per_ev_fu": 3.35,
  "vol_a3_per_cell": 95,
  "total_magnetization_mub_per_fu": 0.00,
  "raw_formation_energy_ev_per_fu": -2.06,
  "lattice_angstrom": [[3.303, 0.000, 0.000], [0.000, 3.296, 0.021], [0.000, -0.066, 8.750]],
  "species": ["Y", "Ta", "Cl", "Y"],
  "frac_coords": [[0.000, 0.999, 0.763], [0.500, 0.500, 0.000], [0.500, 0.000, 0.500], [0.000, 0.001, 0.237]]
}

[14]
{
  "formula": "YTaCl2",
  "functional": "SCAN",
  "state": "PBEsol geometry",
  "spacegroup": "P4/mmm (123)",
  "dos_ef_per_ev_fu": 3.62,
  "vol_a3_per_cell": 70,
  "total_magnetization_mub_per_fu": 0.01,
  "de_polymorph_mev_per_atom": 795,
  "raw_formation_energy_ev_per_fu": -0.35,
  "lattice_angstrom": [[-1.729, 1.556, -2.154], [-2.897, -3.683, -0.335], [-2.667, 1.785, 3.430]],
  "species": ["Ta", "Cl", "Cl", "Y"],
  "frac_coords": [[0.500, 0.500, 0.500], [0.000, 0.500, 0.000], [0.000, 0.000, 0.500], [0.500, 0.000, 0.000]]
}

[15]
{
  "formula": "TaZnCl2",
  "functional": "SCAN",
  "state": "PBEsol geometry",
  "spacegroup": "P4mm (99)",
  "dos_ef_per_ev_fu": 1.02,
  "vol_a3_per_cell": 72,
  "total_magnetization_mub_per_fu": 0.96,
  "de_polymorph_mev_per_atom": 0,
  "raw_formation_energy_ev_per_fu": -1.35,
  "lattice_angstrom": [[-0.836, -2.283, 1.825], [1.058, -2.005, -2.025], [6.961, 0.201, 3.439]],
  "species": ["Zn", "Cl", "Ta", "Cl"],
  "frac_coords": [[0.500, 0.500, 0.746], [0.000, 0.000, 0.940], [0.000, 0.000, 0.503], [0.500, 0.500, 0.312]]
}

[16]
{
  "formula": "TaZnCl2",
  "functional": "SCAN",
  "state": "PBEsol geometry",
  "spacegroup": "P4/mmm (123)",
  "dos_ef_per_ev_fu": 1.33,
  "vol_a3_per_cell": 78,
  "total_magnetization_mub_per_fu": 0.00,
  "de_polymorph_mev_per_atom": 214,
  "raw_formation_energy_ev_per_fu": -0.49,
  "lattice_angstrom": [[-0.912, -1.298, -2.523], [2.439, -1.714, 0.001], [-4.298, -6.112, 4.698]],
  "species": ["Ta", "Cl", "Zn", "Cl"],
  "frac_coords": [[0.500, 0.500, 0.000], [0.000, 0.000, 0.172], [0.500, 0.500, 0.500], [0.000, 0.000, 0.828]]
}

[17]
{
  "formula": "TaZnCl2",
  "functional": "SCAN",
  "state": "PBEsol geometry",
  "spacegroup": "F-43m (216)",
  "dos_ef_per_ev_fu": 3.70,
  "vol_a3_per_cell": 72,
  "total_magnetization_mub_per_fu": 2.98,
  "de_polymorph_mev_per_atom": 1081,
  "raw_formation_energy_ev_per_fu": 2.98,
  "lattice_angstrom": [[-1.863, 2.341, -3.598], [-4.185, -1.242, -1.684], [-3.710, 2.768, 0.680]],
  "species": ["Zn", "Ta", "Cl", "Cl"],
  "frac_coords": [[0.250, 0.250, 0.250], [0.500, 0.500, 0.500], [0.750, 0.750, 0.750], [0.000, 0.000, 0.000]]
}

[18]
{
  "formula": "TaZn2Cl",
  "functional": "SCAN",
  "state": "PBEsol geometry",
  "spacegroup": "Fm-3m (225)",
  "dos_ef_per_ev_fu": 3.56,
  "vol_a3_per_cell": 70,
  "total_magnetization_mub_per_fu": 0.00,
  "raw_formation_energy_ev_per_fu": 3.74,
  "lattice_angstrom": [[4.616, 0.000, 0.000], [2.308, 3.997, 0.000], [2.308, 1.332, 3.769]],
  "species": ["Zn", "Cl", "Zn", "Ta"],
  "frac_coords": [[0.250, 0.250, 0.250], [0.000, 0.000, 0.000], [0.750, 0.750, 0.750], [0.500, 0.500, 0.500]]
}

[19]
{
  "formula": "Zr3TaCl",
  "functional": "SCAN",
  "state": "PBEsol geometry",
  "spacegroup": "Pm-3m (221)",
  "dos_ef_per_ev_fu": 6.26,
  "vol_a3_per_cell": 133,
  "total_magnetization_mub_per_fu": 2.26,
  "raw_formation_energy_ev_per_fu": 4.48,
  "lattice_angstrom": [[5.111, 0.000, 0.000], [0.000, 5.111, 0.000], [0.000, 0.000, 5.111]],
  "species": ["Zr", "Zr", "Ta", "Cl", "Zr"],
  "frac_coords": [[0.000, 0.500, 0.000], [0.500, 0.000, 0.000], [0.000, 0.000, 0.000], [0.500, 0.500, 0.500], [0.000, 0.000, 0.500]]
}

[20]
{
  "formula": "TbCl3",
  "functional": "SCAN",
  "state": "PBEsol geometry",
  "spacegroup": "Cmcm (63)",
  "dos_ef_per_ev_fu": 0.00,
  "vol_a3_per_cell": 195,
  "total_magnetization_mub_per_fu": 0.00,
  "raw_formation_energy_ev_per_fu": -10.10,
  "lattice_angstrom": [[3.771, 0.000, 0.000], [-1.886, 6.176, 0.000], [0.000, 0.000, 8.378]],
  "species": ["Tb", "Cl", "Cl", "Cl", "Cl", "Cl", "Cl", "Tb"],
  "frac_coords": [[0.759, 0.518, 0.750], [0.591, 0.183, 0.250], [0.409, 0.817, 0.750], [0.153, 0.306, 0.567], [0.153, 0.306, 0.933], [0.847, 0.694, 0.067], [0.847, 0.694, 0.433], [0.241, 0.482, 0.250]]
}